Entry 1:
DFT (PBE+U) results for a relaxed structure of MnCr2NiO6.

Values from the calculation:
* E_tot: -7.098 eV per atom
* V: 10.124 Å³ per atom

a = 5.0533 Å, b = 5.0533 Å, c = 13.7337 Å
α = 90.00°, β = 90.00°, γ = 120.00°
Space group R3 (No. 146, hexagonal axes)
Inequivalent atoms, fractional coordinates:
1 Mn 0.0000 0.0000 0.0000 (multiplicity 3)
2 Cr 0.0000 0.0000 0.1971 (multiplicity 3)
3 Cr 0.0000 0.0000 0.6930 (multiplicity 3)
4 Ni 0.0000 0.0000 0.4934 (multiplicity 3)
5 O 0.0090 0.6927 0.5985 (multiplicity 9)
6 O 0.0415 0.3690 0.7608 (multiplicity 9)

Entry 2:
DFT (PBE+U) results for a relaxed structure of MnCr2Ni3P6O24.

Values from the calculation:
* E_tot: -6.824 eV per atom
* V: 11.940 Å³ per atom

a = 8.5673 Å, b = 8.5673 Å, c = 20.2867 Å
α = 90.00°, β = 90.00°, γ = 120.00°
Space group R3 (No. 146, hexagonal axes)
Inequivalent atoms, fractional coordinates:
1 Mn 0.0000 0.0000 0.0000 (multiplicity 3)
2 Cr 0.0000 0.0000 0.3560 (multiplicity 3)
3 Cr 0.0000 0.0000 0.8565 (multiplicity 3)
4 Ni 0.0000 0.0000 0.2141 (multiplicity 3)
5 Ni 0.0000 0.0000 0.4995 (multiplicity 3)
6 Ni 0.0000 0.0000 0.7161 (multiplicity 3)
7 P 0.0045 0.2977 0.1064 (multiplicity 9)
8 P 0.0346 0.6691 0.2766 (multiplicity 9)
9 O 0.0051 0.7992 0.6714 (multiplicity 9)
10 O 0.0068 0.1779 0.4256 (multiplicity 9)
11 O 0.0333 0.1931 0.7884 (multiplicity 9)
12 O 0.0476 0.2193 0.1664 (multiplicity 9)
13 O 0.1376 0.6840 0.2134 (multiplicity 9)
14 O 0.1412 0.4685 0.7098 (multiplicity 9)
15 O 0.1682 0.6819 0.9527 (multiplicity 9)
16 O 0.1785 0.1544 0.9305 (multiplicity 9)

What did the first record say?
DFT (PBE+U) results for a relaxed structure of MnCr2NiO6.

Values from the calculation:
* E_tot: -7.098 eV per atom
* V: 10.124 Å³ per atom

a = 5.0533 Å, b = 5.0533 Å, c = 13.7337 Å
α = 90.00°, β = 90.00°, γ = 120.00°
Space group R3 (No. 146, hexagonal axes)
Inequivalent atoms, fractional coordinates:
1 Mn 0.0000 0.0000 0.0000 (multiplicity 3)
2 Cr 0.0000 0.0000 0.1971 (multiplicity 3)
3 Cr 0.0000 0.0000 0.6930 (multiplicity 3)
4 Ni 0.0000 0.0000 0.4934 (multiplicity 3)
5 O 0.0090 0.6927 0.5985 (multiplicity 9)
6 O 0.0415 0.3690 0.7608 (multiplicity 9)

Question: The lowest V belongs to which entry?
Answer: MnCr2NiO6